# 1
The following is a PBE calculation of crystalline CoTc2P at its relaxed geometry, from Alexandria.

Structure (extended XYZ):
```
4
Lattice="-1.608 0.890 2.332 -3.526 0.229 -2.519 -0.883 -3.904 0.881" Properties=species:S:1:pos:R:3 pbc="T T T"
Tc 0.000 0.000 0.000
Tc -2.567 0.559 -0.093
P -2.204 -1.837 -0.819
Co -1.246 -1.507 1.607
```

The formation energy from the elements comes out at 0.172 eV/atom. The calculated volume is 52.8 Å³ per cell. The value obtained for the total DFT energy (no corrections) is -32.6 eV for the cell shown. For the density of states at the Fermi level, the calculation gives 3.82 states/eV/f.u.

# 2
The following is a PBE calculation of crystalline Co4TcP at its relaxed geometry, from Alexandria.

Structure (extended XYZ):
```
6
Lattice="2.232 -4.089 -0.427 -2.205 -3.990 1.050 -1.200 -2.975 -3.405" Properties=species:S:1:pos:R:3 pbc="T T T"
Tc 0.000 0.000 0.000
Co -0.440 -4.148 -1.044
P -0.879 -8.290 -2.086
Co 0.674 -6.188 -1.257
Co -1.540 -6.139 -0.520
Co -1.038 -5.633 -2.743
```

The formation energy from the elements comes out at 0.351 eV/atom. The calculated volume is 72.4 Å³ per cell. The value obtained for the total DFT energy (no corrections) is -42.1 eV for the cell shown. For the density of states at the Fermi level, the calculation gives 9.87 states/eV/f.u.

# 3
The following is a PBE calculation of crystalline CoTcP2 at its relaxed geometry, from Alexandria.

Structure (extended XYZ):
```
4
Lattice="0.000 2.904 2.904 2.904 0.000 2.904 2.904 2.904 0.000" Properties=species:S:1:pos:R:3 pbc="T T T"
Tc 2.904 2.904 2.904
P 4.356 4.356 4.356
Co 0.000 0.000 0.000
P 1.452 1.452 1.452
```

The formation energy from the elements comes out at -0.134 eV/atom. The calculated volume is 49.0 Å³ per cell. The value obtained for the energy relative to the lowest polymorph listed for this composition is 264 meV/atom. The value obtained for the total DFT energy (no corrections) is -28.8 eV for the cell shown. For the density of states at the Fermi level, the calculation gives 3.80 states/eV/f.u.

# 4
The following is a PBE calculation of crystalline CoTc2P2 at its relaxed geometry, from Alexandria.

Structure (extended XYZ):
```
10
Lattice="-1.947 6.222 -1.484 -5.453 -2.425 -3.015 -1.443 0.144 2.494" Properties=species:S:1:pos:R:3 pbc="T T T"
P -2.102 3.690 -1.429
Tc -4.554 -0.573 -0.933
P -2.191 0.107 -1.274
Tc -6.623 2.050 -2.281
Tc -4.288 4.513 -1.072
P -5.208 3.690 -3.225
Tc -2.219 1.890 0.276
Co 0.000 0.000 0.000
P -5.297 0.106 -3.071
Co -3.700 1.898 -2.250
```

The formation energy from the elements comes out at -0.165 eV/atom. The calculated volume is 128.9 Å³ per cell. The value obtained for the total DFT energy (no corrections) is -79.0 eV for the cell shown. For the density of states at the Fermi level, the calculation gives 6.25 states/eV/f.u.

# 5
The following is a PBE calculation of crystalline CoTcP2 at its relaxed geometry, from Alexandria.

Structure (extended XYZ):
```
4
Lattice="-6.168 3.833 0.743 -6.749 2.238 -1.652 -7.147 1.080 1.016" Properties=species:S:1:pos:R:3 pbc="T T T"
Tc -10.167 3.623 0.054
P -5.008 1.785 0.027
P -0.120 0.043 0.001
Co -14.801 5.275 0.079
```

The formation energy from the elements comes out at -0.052 eV/atom. The calculated volume is 53.0 Å³ per cell. The value obtained for the energy relative to the lowest polymorph listed for this composition is 347 meV/atom. The value obtained for the total DFT energy (no corrections) is -28.5 eV for the cell shown. For the density of states at the Fermi level, the calculation gives 5.28 states/eV/f.u.

# 6
The following is a PBE calculation of crystalline CoTcP2 at its relaxed geometry, from Alexandria.

Structure (extended XYZ):
```
4
Lattice="-1.509 1.098 -2.993 -1.649 -2.449 -0.067 -3.524 2.301 2.621" Properties=species:S:1:pos:R:3 pbc="T T T"
Co -4.634 0.438 0.419
Tc -2.048 0.512 -0.858
P -1.290 -1.801 -0.010
P -2.945 -0.721 1.221
```

The formation energy from the elements comes out at -0.068 eV/atom. The calculated volume is 51.6 Å³ per cell. The value obtained for the energy relative to the lowest polymorph listed for this composition is 330 meV/atom. The value obtained for the total DFT energy (no corrections) is -28.6 eV for the cell shown. For the density of states at the Fermi level, the calculation gives 3.60 states/eV/f.u.

# 7
The following is a PBE calculation of crystalline CoTc2P at its relaxed geometry, from Alexandria.

Structure (extended XYZ):
```
4
Lattice="-0.306 -6.586 0.071 1.101 2.668 3.059 -1.995 -1.117 1.693" Properties=species:S:1:pos:R:3 pbc="T T T"
Tc -1.151 -3.852 0.882
Tc 0.000 0.000 0.000
P 0.397 -1.959 1.565
Co -0.447 0.775 2.376
```

The formation energy from the elements comes out at -0.139 eV/atom. The calculated volume is 50.3 Å³ per cell. The value obtained for the total DFT energy (no corrections) is -33.8 eV for the cell shown. For the density of states at the Fermi level, the calculation gives 4.57 states/eV/f.u.

# 8
The following is a PBE calculation of crystalline CoTcP2 at its relaxed geometry, from Alexandria.

Structure (extended XYZ):
```
4
Lattice="4.284 -0.002 0.001 3.228 2.817 0.001 0.917 0.344 4.076" Properties=species:S:1:pos:R:3 pbc="T T T"
P 7.512 2.815 0.280
P 6.336 2.374 2.932
Tc 4.199 1.573 2.306
Co 2.110 0.790 0.597
```

The formation energy from the elements comes out at -0.346 eV/atom. The calculated volume is 49.2 Å³ per cell. The value obtained for the energy relative to the lowest polymorph listed for this composition is 53 meV/atom. The value obtained for the total DFT energy (no corrections) is -29.7 eV for the cell shown. For the density of states at the Fermi level, the calculation gives 1.37 states/eV/f.u.

# 9
The following is a PBE calculation of crystalline CoTc2P at its relaxed geometry, from Alexandria.

Structure (extended XYZ):
```
4
Lattice="2.812 0.012 0.000 -0.012 2.812 0.000 0.000 0.000 6.430" Properties=species:S:1:pos:R:3 pbc="T T T"
Tc 0.000 0.000 6.252
Co 0.000 0.000 3.500
P 1.400 1.412 4.701
Tc 1.400 1.412 1.622
```

The formation energy from the elements comes out at -0.153 eV/atom. The calculated volume is 50.8 Å³ per cell. The value obtained for the total DFT energy (no corrections) is -33.9 eV for the cell shown. For the density of states at the Fermi level, the calculation gives 3.12 states/eV/f.u.

# 10
The following is a PBE calculation of crystalline CoTcP2 at its relaxed geometry, from Alexandria.

Structure (extended XYZ):
```
4
Lattice="2.838 0.015 0.000 -1.237 2.554 0.000 0.000 0.000 7.133" Properties=species:S:1:pos:R:3 pbc="T T T"
Co 0.800 1.284 5.350
Tc 0.800 1.284 1.783
P 0.000 0.000 3.668
P 0.000 0.000 7.032
```

The formation energy from the elements comes out at 0.114 eV/atom. The calculated volume is 51.8 Å³ per cell. The value obtained for the energy relative to the lowest polymorph listed for this composition is 512 meV/atom. The value obtained for the total DFT energy (no corrections) is -27.8 eV for the cell shown. For the density of states at the Fermi level, the calculation gives 2.40 states/eV/f.u.

# 11
The following is a PBE calculation of crystalline CoTcP4 at its relaxed geometry, from Alexandria.

Structure (extended XYZ):
```
6
Lattice="-1.800 2.583 3.653 0.560 4.789 0.073 -3.797 2.883 -0.727" Properties=species:S:1:pos:R:3 pbc="T T T"
P -1.889 3.845 1.124
Tc -3.778 7.691 2.249
P -3.788 5.287 0.761
Co 0.000 0.000 0.000
P -1.608 6.241 1.160
P -2.789 5.137 2.951
```

The formation energy from the elements comes out at 0.793 eV/atom. The calculated volume is 79.3 Å³ per cell. The value obtained for the total DFT energy (no corrections) is -34.4 eV for the cell shown. For the density of states at the Fermi level, the calculation gives 5.39 states/eV/f.u.

# 12
The following is a PBE calculation of crystalline CoTcP2 at its relaxed geometry, from Alexandria.

Structure (extended XYZ):
```
4
Lattice="-2.261 1.268 1.366 0.002 -2.146 1.995 3.551 2.934 3.153" Properties=species:S:1:pos:R:3 pbc="T T T"
P 1.809 1.495 1.606
P 3.517 2.906 3.123
Tc -0.242 0.295 2.469
Co 1.533 1.762 4.045
```

The formation energy from the elements comes out at -0.226 eV/atom. The calculated volume is 47.9 Å³ per cell. The value obtained for the energy relative to the lowest polymorph listed for this composition is 173 meV/atom. The value obtained for the total DFT energy (no corrections) is -29.2 eV for the cell shown. For the density of states at the Fermi level, the calculation gives 3.41 states/eV/f.u.

# 13
The following is a PBE calculation of crystalline CoTc2P at its relaxed geometry, from Alexandria.

Structure (extended XYZ):
```
4
Lattice="-6.887 2.487 3.507 -7.762 0.143 2.377 -6.526 0.108 4.828" Properties=species:S:1:pos:R:3 pbc="T T T"
P -16.002 2.069 8.095
Tc -5.250 0.679 2.656
Tc -0.115 0.015 0.058
Co -10.395 1.344 5.259
```

The formation energy from the elements comes out at -0.034 eV/atom. The calculated volume is 51.9 Å³ per cell. The value obtained for the total DFT energy (no corrections) is -33.4 eV for the cell shown. For the density of states at the Fermi level, the calculation gives 3.28 states/eV/f.u.

# 14
The following is a PBE calculation of crystalline CoTcP2 at its relaxed geometry, from Alexandria.

Structure (extended XYZ):
```
4
Lattice="3.903 0.002 -0.015 2.763 2.756 -0.015 0.836 0.346 4.636" Properties=species:S:1:pos:R:3 pbc="T T T"
P 0.028 0.012 0.075
Tc 5.626 2.328 3.455
Co 1.875 0.776 1.152
P 3.722 1.540 2.228
```

The formation energy from the elements comes out at -0.184 eV/atom. The calculated volume is 49.9 Å³ per cell. The value obtained for the energy relative to the lowest polymorph listed for this composition is 214 meV/atom. The value obtained for the total DFT energy (no corrections) is -29.0 eV for the cell shown. For the density of states at the Fermi level, the calculation gives 3.10 states/eV/f.u.

# 15
The following is a PBE calculation of crystalline CoTc2P at its relaxed geometry, from Alexandria.

Structure (extended XYZ):
```
4
Lattice="3.864 0.000 0.000 0.000 2.794 0.005 0.000 1.389 4.699" Properties=species:S:1:pos:R:3 pbc="T T T"
P 1.932 2.961 3.498
Co 0.000 2.964 2.420
Tc 1.932 1.570 1.231
Tc 0.000 1.565 4.607
```

The formation energy from the elements comes out at -0.197 eV/atom. The calculated volume is 50.7 Å³ per cell. The value obtained for the total DFT energy (no corrections) is -34.0 eV for the cell shown. For the density of states at the Fermi level, the calculation gives 3.69 states/eV/f.u.

# 16
The following is a PBE calculation of crystalline CoTcP2 at its relaxed geometry, from Alexandria.

Structure (extended XYZ):
```
4
Lattice="4.172 0.000 0.000 2.086 3.613 0.000 2.086 1.204 3.406" Properties=species:S:1:pos:R:3 pbc="T T T"
Co 4.172 2.409 1.703
P 2.086 1.204 0.852
P 0.000 0.000 0.000
Tc 6.258 3.613 2.555
```

The formation energy from the elements comes out at 0.384 eV/atom. The calculated volume is 51.3 Å³ per cell. The value obtained for the energy relative to the lowest polymorph listed for this composition is 782 meV/atom. The value obtained for the total DFT energy (no corrections) is -26.8 eV for the cell shown. For the density of states at the Fermi level, the calculation gives 5.43 states/eV/f.u.

# 17
The following is a PBE calculation of crystalline CoTc2P at its relaxed geometry, from Alexandria.

Structure (extended XYZ):
```
4
Lattice="8.070 0.006 0.004 7.593 2.732 0.004 7.593 1.328 2.388" Properties=species:S:1:pos:R:3 pbc="T T T"
Tc 0.087 0.015 0.009
P 17.442 3.050 1.797
Tc 11.541 2.018 1.189
Co 5.814 1.017 0.599
```

The formation energy from the elements comes out at 0.029 eV/atom. The calculated volume is 52.5 Å³ per cell. The value obtained for the total DFT energy (no corrections) is -33.1 eV for the cell shown. For the density of states at the Fermi level, the calculation gives 3.53 states/eV/f.u.

# 18
The following is a PBE calculation of crystalline CoTc2P at its relaxed geometry, from Alexandria.

Structure (extended XYZ):
```
4
Lattice="4.559 0.026 0.000 1.563 4.283 0.000 -3.061 -2.154 2.603" Properties=species:S:1:pos:R:3 pbc="T T T"
Tc 0.000 0.000 0.000
Co 3.061 2.154 0.000
P 2.280 0.013 1.301
Tc 0.781 2.141 1.301
```

The formation energy from the elements comes out at -0.024 eV/atom. The calculated volume is 50.7 Å³ per cell. The value obtained for the total DFT energy (no corrections) is -33.3 eV for the cell shown. For the density of states at the Fermi level, the calculation gives 4.39 states/eV/f.u.

# 19
The following is a PBE calculation of crystalline CoTc2P at its relaxed geometry, from Alexandria.

Structure (extended XYZ):
```
4
Lattice="4.203 0.000 0.000 2.101 3.640 0.000 2.101 1.213 3.431" Properties=species:S:1:pos:R:3 pbc="T T T"
Tc 0.000 0.000 0.000
Co 4.203 2.426 1.716
Tc 2.101 1.213 0.858
P 6.304 3.640 2.574
```

The formation energy from the elements comes out at 0.150 eV/atom. The calculated volume is 52.5 Å³ per cell. The value obtained for the total DFT energy (no corrections) is -32.6 eV for the cell shown. For the density of states at the Fermi level, the calculation gives 3.57 states/eV/f.u.

# 20
The following is a PBE calculation of crystalline CoTc3P3 at its relaxed geometry, from Alexandria.

Structure (extended XYZ):
```
28
Lattice="-1.397 2.912 -1.686 -9.014 -1.795 4.370 2.612 5.735 7.744" Properties=species:S:1:pos:R:3 pbc="T T T"
P -3.320 5.041 5.555
Tc -2.669 1.898 -0.414
P -2.092 3.935 2.626
Tc -5.570 5.320 7.901
P -0.544 5.256 7.562
P -7.224 5.467 9.527
Co 1.353 5.412 6.260
P 0.249 4.053 4.826
P -3.551 4.708 9.107
Tc -1.892 3.065 4.895
Tc -5.130 4.954 10.842
P -8.048 2.799 5.601
P -4.249 2.145 1.320
Tc -1.188 5.942 5.345
Tc 0.219 2.853 2.778
P -4.479 1.811 4.873
Co -3.588 3.560 7.157
Co -4.211 3.292 3.271
P -7.255 1.596 2.865
P -5.707 2.917 7.801
P -0.575 1.385 0.901
Co -9.152 1.440 4.167
Tc -5.907 3.787 5.532
Tc -2.229 1.532 2.526
Tc -8.019 3.999 7.649
Tc -4.996 0.398 2.861
Tc -2.803 6.454 7.567
Tc -6.611 0.910 5.082
```

The formation energy from the elements comes out at -0.458 eV/atom. The calculated volume is 370.2 Å³ per cell. The value obtained for the total DFT energy (no corrections) is -230.5 eV for the cell shown. For the density of states at the Fermi level, the calculation gives 4.76 states/eV/f.u.